# 1
LiVS3: optimized geometry, PBE-GGA.

Cell lengths 4.3729, 4.3729, 4.3729 Å; angles 90.00, 90.00, 90.00 degrees
Last column: nearest neighbours and their distance in Å.
Space group Pm-3m (No. 221)
Unique sites:
Li 0.0000 0.0000 0.0000  6 S 2.19
V 0.5000 0.5000 0.5000  12 S 3.09
S 0.0000 0.0000 0.5000  2 Li 2.19

Offset from the most stable computed form = 1269.4 meV per atom
Volume = 16.7 A^3/atom
Magnetic moment = 2.02 μB/cell
Total energy = -4.27 eV/atom
ρ = 3.060 Mg/m³
Raw formation energy = 2.1 eV/f.u.
N(E_F) = 6.8 states/eV per cell



# 2
LiV3S: optimized geometry, PBE-GGA.

Cell lengths 4.1075, 4.1075, 4.1075 Å; angles 90.00, 90.00, 90.00 degrees
Last column: nearest neighbours and their distance in Å.
Space group Pm-3m (No. 221)
Unique sites:
Li 0.0000 0.0000 0.0000  6 V 2.05
V 0.0000 0.0000 0.5000  2 Li 2.05
S 0.5000 0.5000 0.5000  12 V 2.90

Offset from the most stable computed form = 961.0 meV per atom
Volume = 13.9 A^3/atom
Magnetic moment = 1.10 μB/cell
Total energy = -5.47 eV/atom
ρ = 4.597 Mg/m³
Raw formation energy = 6.0 eV/f.u.
N(E_F) = 6.0 states/eV per cell



# 3
Li2V3S6: optimized geometry, PBE-GGA.

Cell lengths 5.7152, 9.9585, 6.5560 Å; angles 90.00, 105.66, 90.00 degrees
Last column: nearest neighbours and their distance in Å.
Space group C2/m (No. 12)
Unique sites:
Li 0.0000 0.1749 0.0000  6 S 2.54-2.60
V 0.0000 0.0000 0.5000  6 S 2.39-2.43
V 0.0000 0.3512 0.5000  6 S 2.32-2.48
S 0.2349 0.1695 0.7216  3 V 2.37-2.48, 2 Li 2.54-2.56
S 0.2415 0.5000 0.7389  3 V 2.32-2.43

Offset from the most stable computed form = 0.0 meV per atom
Volume = 16.3 A^3/atom
Magnetic moment = 0.51 μB/cell
Total energy = -6.12 eV/atom
ρ = 3.319 Mg/m³
Raw formation energy = -11.3 eV/f.u.
N(E_F) = 13.6 states/eV per cell



# 4
LiVS2: optimized geometry, PBE-GGA.

Cell lengths 3.8903, 3.8903, 6.2155 Å; angles 90.00, 90.00, 120.00 degrees
Last column: nearest neighbours and their distance in Å.
Space group P3m1 (No. 156)
Unique sites:
Li 0.0000 0.0000 0.0000  4 S 2.35-2.57
V 0.3333 0.6667 0.5350  4 S 2.19-2.37
S 0.0000 0.0000 0.4133  3 V 2.37, 1 Li 2.57
S 0.3333 0.6667 0.8870  1 V 2.19, 3 Li 2.35

Volume = 20.4 A^3/atom
Magnetic moment = 2.00 μB/cell
Total energy = -5.70 eV/atom
ρ = 2.487 Mg/m³
Raw formation energy = -3.5 eV/f.u.
N(E_F) = 1.7 states/eV per cell



# 5
LiV5S8: optimized geometry, PBE-GGA.

Cell lengths 9.9168, 9.9168, 9.9168 Å; angles 90.00, 90.00, 90.00 degrees
Last column: nearest neighbours and their distance in Å.
Space group F-43m (No. 216)
Unique sites:
Li 0.0000 0.0000 0.0000  4 S 2.18
V 0.1430 0.1430 0.3570  3 S 2.29
V 0.2500 0.2500 0.7500  4 S 2.33
S 0.1143 0.1143 0.6143  4 V 2.33-2.58
S 0.1272 0.1272 0.1272  1 Li 2.18, 3 V 2.29

Volume = 17.4 A^3/atom
Magnetic moment = 24.49 μB/cell
Total energy = -6.64 eV/atom
ρ = 3.529 Mg/m³
Raw formation energy = -12.5 eV/f.u.
N(E_F) = 25.2 states/eV per cell



# 6
LiVS2: optimized geometry, PBE-GGA.

Cell lengths 3.4304, 4.9077, 7.6149 Å; angles 90.00, 90.00, 90.00 degrees
Last column: nearest neighbours and their distance in Å.
Space group Pmmn (No. 59, origin choice 2)
Unique sites:
Li 0.2500 0.2500 0.1102  4 S 2.47-2.57
V 0.2500 0.2500 0.6402  6 S 2.39-2.48
S 0.2500 0.7500 0.1414  2 V 2.39, 4 Li 2.47-2.57
S 0.2500 0.7500 0.5939  4 V 2.47-2.48

Volume = 16.0 A^3/atom
Magnetic moment = 4.00 μB/cell
Total energy = -5.85 eV/atom
ρ = 3.161 Mg/m³
Raw formation energy = -4.1 eV/f.u.
N(E_F) = 5.6 states/eV per cell



# 7
LiVS3: optimized geometry, PBE-GGA.

Cell lengths 12.3380, 10.5196, 6.0627 Å; angles 90.00, 90.71, 90.00 degrees
Last column: nearest neighbours and their distance in Å.
Space group C2/c (No. 15)
Unique sites:
Li 0.0000 0.1027 0.2500  6 S 2.57-2.66
Li 0.0000 0.3322 0.7500  4 S 2.52-2.54
V 0.2342 0.0823 0.9226  6 S 2.29-2.45
S 0.1304 0.0708 0.5980  2 V 2.32-2.34
S 0.1304 0.2485 0.0421  2 V 2.29-2.45, 2 Li 2.54-2.57
S 0.1414 0.4992 0.3213  2 V 2.31-2.34, 1 Li 2.52

Offset from the most stable computed form = 76.8 meV per atom
Volume = 19.7 A^3/atom
Magnetic moment = 0.00 μB/cell
Total energy = -5.46 eV/atom
ρ = 2.601 Mg/m³
Raw formation energy = -3.9 eV/f.u.
N(E_F) = 1.4 states/eV per cell



# 8
LiV3S: optimized geometry, PBE-GGA.

Cell lengths 4.3513, 4.3513, 4.3513 Å; angles 90.00, 90.00, 90.00 degrees
Last column: nearest neighbours and their distance in Å.
Space group Pm-3m (No. 221)
Unique sites:
Li 0.0000 0.0000 0.0000  12 V 3.08
V 0.0000 0.5000 0.5000  2 S 2.18
S 0.5000 0.5000 0.5000  6 V 2.18

Offset from the most stable computed form = 0.0 meV per atom
Volume = 16.5 A^3/atom
Magnetic moment = 3.81 μB/cell
Total energy = -6.43 eV/atom
ρ = 3.866 Mg/m³
Raw formation energy = 1.2 eV/f.u.
N(E_F) = 5.6 states/eV per cell



Question: Number 2 is which compound?
Answer: LiV3S



Question: Among the records above, which one has the lowest volume?
Answer: number 2